A plane-wave DFT calculation with PBE was carried out for a geometry-optimized LiNbSe3 structure.

Computed properties:
Excess energy over the best structure of this formula in the dataset in eV per atom: 0.174
SG: Amm2, No. 38
Size of the total moment in μB/f.u.: 0.000
Uncorrected formation energy in meV/atom: -685

Cell and atoms, written as POSCAR:
```
LiNbSe3
1.0
-0.487 -1.743 3.569
-7.130 0.997 -0.485
2.931 -6.074 -2.566
Nb Se Li
1 3 1
Direct
0.500 0.064 0.936
0.500 0.208 0.311
0.500 0.689 0.792
0.000 0.184 0.816
0.000 0.483 0.517
```

A plane-wave DFT calculation with PBE was carried out for a geometry-optimized LiNbSe3 structure.

Computed properties:
Excess energy over the best structure of this formula in the dataset in eV per atom: 0.130
SG: Pnma, No. 62
Size of the total moment in μB/f.u.: 0.000
Uncorrected formation energy in meV/atom: -730

Cell and atoms, written as POSCAR:
```
LiNbSe3
1.0
6.369 0.000 0.000
0.000 11.856 0.000
0.000 0.000 5.979
Nb Se Li
4 12 4
Direct
0.658 0.250 0.416
0.842 0.750 0.916
0.342 0.750 0.584
0.158 0.250 0.084
0.166 0.896 0.833
0.334 0.396 0.333
0.334 0.104 0.333
0.834 0.396 0.167
0.834 0.104 0.167
0.666 0.604 0.667
0.666 0.896 0.667
0.166 0.604 0.833
0.441 0.250 0.810
0.059 0.750 0.310
0.559 0.750 0.190
0.941 0.250 0.690
0.000 0.000 0.500
0.500 0.500 0.000
0.500 0.000 0.000
0.000 0.500 0.500
```

A plane-wave DFT calculation with PBE was carried out for a geometry-optimized Li2NbSe4 structure.

Computed properties:
SG: C2/m, No. 12
Size of the total moment in μB/f.u.: 0.000
Uncorrected formation energy in meV/atom: -795

Cell and atoms, written as POSCAR:
```
Li2NbSe4
1.0
3.697 0.000 0.000
0.000 6.589 -0.084
-1.849 -3.269 6.256
Li Nb Se
2 1 4
Direct
0.700 0.679 0.401
0.300 0.321 0.599
0.000 0.000 0.000
0.929 0.299 0.858
0.071 0.701 0.142
0.642 0.232 0.284
0.358 0.768 0.716
```

A plane-wave DFT calculation with PBE was carried out for a geometry-optimized LiNbSe2 structure.

Computed properties:
SG: Pm, No. 6
Size of the total moment in μB/f.u.: 0.000
Uncorrected formation energy in meV/atom: -956

Cell and atoms, written as POSCAR:
```
LiNbSe2
1.0
3.503 0.000 0.000
0.000 5.549 0.614
-0.001 -0.406 7.913
Li Nb Se
2 2 4
Direct
0.410 0.720 0.093
0.910 0.184 0.890
0.911 0.123 0.391
0.411 0.782 0.590
0.911 0.708 0.839
0.411 0.196 0.142
0.411 0.249 0.618
0.911 0.656 0.364
```